First-principles (PBE) data for an optimized crystal structure of Ac8NiPt2, as listed in Alexandria.

Cell lengths 7.0453, 8.0265, 8.0265 Å; angles 107.53, 101.56, 101.56 degrees
Positions (direct):
Ac: 0.9719 0.1705 0.8342
Ac: 0.3342 0.6464 0.9255
Ac: 0.1896 0.3680 0.3680
Ac: 0.9719 0.8342 0.1705
Ac: 0.6039 0.3559 0.0771
Ac: 0.3342 0.9255 0.6464
Ac: 0.7747 0.6328 0.6328
Ac: 0.6039 0.0771 0.3559
Pt: 0.4839 0.3206 0.6833
Pt: 0.4839 0.6833 0.3206
Ni: 0.2475 0.0196 0.0196

Computed properties:
ΔH_f (0 K), meV/atom: -365
Uncorrected energy, eV per atom: -4.977
D(E_F), states/eV per atom: 1.15